(1)
# YMo2W

A relaxed YMo2W crystal (PBE, Alexandria via LeMat-Bulk).

Structure (extended XYZ):
```
4
Lattice="-3.4254 -3.0665 0.7885 0.7990 -3.7615 2.6404 -1.9125 -0.3206 4.2424" Properties=species:S:1:pos:R:3 pbc="T T T"
Mo 0.0000 0.0000 0.0000
Mo -3.4042 -5.3614 5.7534
W -2.2695 -3.5743 3.8356
Y -1.1347 -1.7871 1.9178
```

Results
ΔE to the lowest computed polymorph in meV/atom: 186
Total magnetic moment in Bohr magnetons per cell: 0.00

=====

(2)
# AlRe2Te

A relaxed AlRe2Te crystal (PBE, Alexandria via LeMat-Bulk).

Structure (extended XYZ):
```
4
Lattice="0.0000 3.1703 3.1703 3.1703 0.0000 3.1703 3.1703 3.1703 0.0000" Properties=species:S:1:pos:R:3 pbc="T T T"
Re 1.5851 1.5851 1.5851
Re 4.7554 4.7554 4.7554
Te 3.1703 3.1703 3.1703
Al 0.0000 0.0000 0.0000
```

Results
Formation energy from raw total energies in eV/f.u.: 1.63
ΔE to the lowest computed polymorph in meV/atom: 168
Total magnetic moment in Bohr magnetons per cell: 0.00

=====

(3)
# LaPuSbN

A relaxed LaPuSbN crystal (PBE, Alexandria via LeMat-Bulk).

Structure (extended XYZ):
```
8
Lattice="4.7134 0.0000 0.0000 0.0000 4.7134 0.0000 0.0000 0.0000 9.0309" Properties=species:S:1:pos:R:3 pbc="T T T"
La 0.0000 0.0000 4.5155
La 2.3567 2.3567 4.5155
Pu 2.3567 0.0000 7.5556
Pu 0.0000 2.3567 1.4753
Sb 0.0000 2.3567 7.2877
Sb 2.3567 0.0000 1.7433
N 0.0000 2.3567 3.5898
N 2.3567 0.0000 5.4412
```

Results
Formation energy from raw total energies in eV/f.u.: -4.25
Total magnetic moment in Bohr magnetons per cell: 9.79